This record from Alexandria describes crystalline AgPd3Au5 at its relaxed geometry. The functional is PBE.

Lattice parameters (Å, degrees): 5.7294 5.7294 11.0408 95.65 95.65 83.74
Closest atoms and distances in Å follow each position.
Element x y z (fractional)
Ag 0.0544 0.0544 0.2641  3 Au 2.65-2.84, 3 Pd 2.71-2.89
Ag 0.9456 0.9456 0.7359  3 Au 2.65-2.84, 3 Pd 2.71-2.89
Pd 0.0000 0.0000 0.0000  4 Au 2.49-2.66, 2 Pd 2.69
Pd 0.0000 0.0000 0.5000  2 Ag 2.71, 6 Au 2.75-2.91
Pd 0.2470 0.2470 0.8723  2 Pd 2.69-2.78, 5 Au 2.73-2.79, 1 Ag 2.80
Pd 0.4633 0.4633 0.7044  5 Au 2.63-2.92, 1 Pd 2.78
Pd 0.5367 0.5367 0.2956  5 Au 2.63-2.92, 1 Pd 2.78
Pd 0.7530 0.7530 0.1277  2 Pd 2.69-2.78, 5 Au 2.73-2.79, 1 Ag 2.80
Au 0.0269 0.5881 0.3241  2 Au 2.73-3.04, 4 Pd 2.73-2.95, 2 Ag 2.84-3.05
Au 0.2874 0.2874 0.1277  3 Pd 2.63-2.79, 1 Ag 2.65, 2 Au 2.78
Au 0.3177 0.3177 0.4777  3 Pd 2.64-2.92, 2 Au 2.73
Au 0.3255 0.6745 0.0000  3 Pd 2.49-2.76, 3 Au 2.67-2.78
Au 0.4119 0.9731 0.6759  2 Au 2.73-3.04, 4 Pd 2.73-2.95, 2 Ag 2.84-3.05
Au 0.5881 0.0269 0.3241  2 Au 2.73-3.04, 4 Pd 2.73-2.95, 2 Ag 2.84-3.05
Au 0.6745 0.3255 0.0000  3 Pd 2.49-2.76, 3 Au 2.67-2.78
Au 0.6823 0.6823 0.5223  3 Pd 2.64-2.92, 2 Au 2.73
Au 0.7126 0.7126 0.8723  3 Pd 2.63-2.79, 1 Ag 2.65, 2 Au 2.78
Au 0.9731 0.4119 0.6759  2 Au 2.73-3.04, 4 Pd 2.73-2.95, 2 Ag 2.84-3.05

## Properties
* energy of formation: 0.24 eV per atom
* DOS at the Fermi energy: 0.5523 states/eV/atom
* space-group type: C2/m (12)